Record 1
Density functional theory data (PBE-GGA) for an optimized crystal structure of Rb2TiH.

```
data_Rb2TiH
_chemical_formula_sum 'Rb8 Ti4 H4'
_space_group_name_H-M_alt 'F m -3 m'
_space_group_IT_number 225
_space_group_name_Hall '-F 4 2 3'
_cell_length_a 8.734
_cell_length_b 8.734
_cell_length_c 8.734
_cell_angle_alpha 90.00
_cell_angle_beta 90.00
_cell_angle_gamma 90.00
loop_
_atom_site_label
_atom_site_fract_x
_atom_site_fract_y
_atom_site_fract_z
_atom_site_occupancy
Rb1 0.250 0.250 0.250 1
Ti1 0.000 0.000 0.000 1
H1 0.000 0.000 0.500 1
```

distance to the lowest polymorph of the same formula = 550 meV/atom
V = 41.64 A^3/atom
total magnetic moment = 3.00 μB/f.u.

---

Record 2
Density functional theory data (PBE-GGA) for an optimized crystal structure of CaCeIrI.

```
data_CaCeIrI
_chemical_formula_sum 'Ca3 Ce3 Ir3 I3'
_space_group_name_H-M_alt 'R 3 m'
_space_group_IT_number 160
_space_group_name_Hall 'R 3 -2"'
_cell_length_a 4.1380
_cell_length_b 4.1380
_cell_length_c 24.1999
_cell_angle_alpha 90.00
_cell_angle_beta 90.00
_cell_angle_gamma 120.00
loop_
_atom_site_label
_atom_site_fract_x
_atom_site_fract_y
_atom_site_fract_z
_atom_site_occupancy
Ca1 0.0000 0.0000 0.0000 1
Ce1 0.0000 0.0000 0.7931 1
Ir1 0.0000 0.0000 0.4050 1
I1 0.0000 0.0000 0.2306 1
```

V = 29.90 A^3/atom
total magnetic moment = 0.60 μB/f.u.
formation energy (no corrections) = -0.853 eV per atom

---

Record 3
Density functional theory data (PBE-GGA) for an optimized crystal structure of AsN2Cl.

```
data_AsN2Cl
_chemical_formula_sum 'As3 N6 Cl3'
_space_group_name_H-M_alt 'R -3 m'
_space_group_IT_number 166
_space_group_name_Hall '-R 3 2"'
_cell_length_a 4.0321
_cell_length_b 4.0321
_cell_length_c 17.7910
_cell_angle_alpha 90.00
_cell_angle_beta 90.00
_cell_angle_gamma 120.00
loop_
_atom_site_label
_atom_site_fract_x
_atom_site_fract_y
_atom_site_fract_z
_atom_site_occupancy
As1 0.0000 0.0000 0.0000 1
N1 0.0000 0.0000 0.0968 1
Cl1 0.0000 0.0000 0.5000 1
```

distance to the lowest polymorph of the same formula = 668 meV/atom
V = 20.87 A^3/atom
total magnetic moment = 0.00 μB/f.u.
formation energy (no corrections) = 1.902 eV per atom

---

Record 4
Density functional theory data (PBE-GGA) for an optimized crystal structure of PaIn3Hg2Cl6.

```
data_PaIn3Hg2Cl6
_chemical_formula_sum 'Pa2 In6 Hg4 Cl12'
_space_group_name_H-M_alt 'C 1 2/m 1'
_space_group_IT_number 12
_cell_length_a 16.270
_cell_length_b 8.049
_cell_length_c 6.850
_cell_angle_alpha 90.00
_cell_angle_beta 90.88
_cell_angle_gamma 90.00
loop_
_space_group_symop_operation_xyz
'x,y,z'
'-x,-y,-z'
'-x,y,-z'
'x,-y,z'
'x+1/2,y+1/2,z'
'-x+1/2,-y+1/2,-z'
'-x+1/2,y+1/2,-z'
'x+1/2,-y+1/2,z'
loop_
_atom_site_label
_atom_site_fract_x
_atom_site_fract_y
_atom_site_fract_z
_atom_site_occupancy
Pa1 0.000 0.000 0.000 1
In1 0.000 0.500 0.500 1
In2 0.250 0.250 0.000 1
Hg1 0.154 0.500 0.264 1
Cl1 0.076 0.232 0.791 1
Cl2 0.131 0.000 0.237 1
```

V = 37.38 A^3/atom
total magnetic moment = 0.96 μB/f.u.
formation energy (no corrections) = -1.015 eV per atom

---

Record 5
Density functional theory data (PBE-GGA) for an optimized crystal structure of Nd4TlPbO.

```
data_Nd4TlPbO
_chemical_formula_sum 'Nd16 Tl4 Pb4 O4'
_space_group_name_H-M_alt 'C m c m'
_space_group_IT_number 63
_space_group_name_Hall '-C 2c 2'
_cell_length_a 6.738
_cell_length_b 17.741
_cell_length_c 6.722
_cell_angle_alpha 90.00
_cell_angle_beta 90.00
_cell_angle_gamma 90.00
loop_
_atom_site_label
_atom_site_fract_x
_atom_site_fract_y
_atom_site_fract_z
_atom_site_occupancy
Nd1 0.000 0.066 0.250 1
Nd2 0.000 0.419 0.250 1
Nd3 0.250 0.250 0.000 1
Tl1 0.000 0.113 0.750 1
Pb1 0.000 0.391 0.750 1
O1 0.000 0.280 0.250 1
```

V = 28.70 A^3/atom
total magnetic moment = 0.00 μB/f.u.
formation energy (no corrections) = -1.086 eV per atom

---

Record 6
Density functional theory data (PBE-GGA) for an optimized crystal structure of Pm2Sm5N5.

```
data_Pm2Sm5N5
_chemical_formula_sum 'Pm4 Sm10 N10'
_space_group_name_H-M_alt 'C 1 2/m 1'
_space_group_IT_number 12
_cell_length_a 12.008
_cell_length_b 3.486
_cell_length_c 12.514
_cell_angle_alpha 90.00
_cell_angle_beta 102.59
_cell_angle_gamma 90.00
loop_
_space_group_symop_operation_xyz
'x,y,z'
'-x,-y,-z'
'-x,y,-z'
'x,-y,z'
'x+1/2,y+1/2,z'
'-x+1/2,-y+1/2,-z'
'-x+1/2,y+1/2,-z'
'x+1/2,-y+1/2,z'
loop_
_atom_site_label
_atom_site_fract_x
_atom_site_fract_y
_atom_site_fract_z
_atom_site_occupancy
Pm1 0.063 0.000 0.312 1
Sm1 0.000 0.500 0.000 1
Sm2 0.149 0.500 0.560 1
Sm3 0.223 0.500 0.877 1
N1 0.000 0.000 0.500 1
N2 0.133 0.000 0.954 1
N3 0.189 0.500 0.385 1
```

V = 21.30 A^3/atom
total magnetic moment = 2.19 μB/f.u.
formation energy (no corrections) = -1.015 eV per atom

---

Record 7
Density functional theory data (PBE-GGA) for an optimized crystal structure of Np3ReN6.

```
data_Np3ReN6
_chemical_formula_sum 'Np12 Re4 N24'
_space_group_name_H-M_alt 'C m c 21'
_space_group_IT_number 36
_cell_length_a 8.998
_cell_length_b 11.395
_cell_length_c 5.467
_cell_angle_alpha 90.00
_cell_angle_beta 90.00
_cell_angle_gamma 90.00
loop_
_space_group_symop_operation_xyz
'x,y,z'
'-x,-y,z+1/2'
'-x,y,z'
'x,-y,z+1/2'
'x+1/2,y+1/2,z'
'-x+1/2,-y+1/2,z+1/2'
'-x+1/2,y+1/2,z'
'x+1/2,-y+1/2,z+1/2'
loop_
_atom_site_label
_atom_site_fract_x
_atom_site_fract_y
_atom_site_fract_z
_atom_site_occupancy
Np1 0.000 0.102 0.000 1
Np2 0.197 0.397 0.029 1
Re1 0.000 0.304 0.573 1
N1 0.000 0.288 0.230 1
N2 0.000 0.455 0.708 1
N3 0.157 0.011 0.268 1
N4 0.158 0.237 0.744 1
```

distance to the lowest polymorph of the same formula = 0 meV/atom
V = 14.01 A^3/atom
total magnetic moment = 10.02 μB/f.u.
formation energy (no corrections) = -0.859 eV per atom

---

Record 8
Density functional theory data (PBE-GGA) for an optimized crystal structure of Ta6MnNb2.

```
data_Ta6MnNb2
_chemical_formula_sum 'Ta12 Mn2 Nb4'
_space_group_name_H-M_alt 'A m m 2'
_space_group_IT_number 38
_cell_length_a 3.004
_cell_length_b 14.459
_cell_length_c 7.467
_cell_angle_alpha 90.00
_cell_angle_beta 90.00
_cell_angle_gamma 90.00
loop_
_space_group_symop_operation_xyz
'x,y,z'
'-x,-y,z'
'-x,y,z'
'x,-y,z'
'x,y+1/2,z+1/2'
'-x,-y+1/2,z+1/2'
'-x,y+1/2,z+1/2'
'x,-y+1/2,z+1/2'
loop_
_atom_site_label
_atom_site_fract_x
_atom_site_fract_y
_atom_site_fract_z
_atom_site_occupancy
Ta1 0.000 0.000 0.000 1
Ta2 0.000 0.132 0.640 1
Ta3 0.500 0.000 0.348 1
Ta4 0.500 0.170 0.971 1
Mn1 0.500 0.000 0.725 1
Nb1 0.000 0.174 0.288 1
```

total DFT energy (no corrections) = -0.40330 Ha/atom
V = 18.02 A^3/atom
total magnetic moment = 0.00 μB/f.u.

---

Record 9
Density functional theory data (PBE-GGA) for an optimized crystal structure of HOsNO2.

```
data_HOsNO2
_chemical_formula_sum 'H1 Os1 N1 O2'
_space_group_name_H-M_alt 'P 4/m m m'
_space_group_IT_number 123
_space_group_name_Hall '-P 4 2'
_cell_length_a 3.807
_cell_length_b 3.807
_cell_length_c 3.786
_cell_angle_alpha 90.00
_cell_angle_beta 90.00
_cell_angle_gamma 90.00
loop_
_atom_site_label
_atom_site_fract_x
_atom_site_fract_y
_atom_site_fract_z
_atom_site_occupancy
H1 0.000 0.000 0.000 1
Os1 0.500 0.500 0.500 1
N1 0.500 0.500 0.000 1
O1 0.000 0.500 0.500 1
```

total DFT energy (no corrections) = -0.22975 Ha/atom
V = 10.98 A^3/atom
total magnetic moment = 0.80 μB/f.u.

---

Record 10
Density functional theory data (PBE-GGA) for an optimized crystal structure of Sr2TiIn2.

```
data_Sr2TiIn2
_chemical_formula_sum 'Sr4 Ti2 In4'
_space_group_name_H-M_alt 'P 4/m b m'
_space_group_IT_number 127
_space_group_name_Hall '-P 4 2ab'
_cell_length_a 7.790
_cell_length_b 7.790
_cell_length_c 5.281
_cell_angle_alpha 90.00
_cell_angle_beta 90.00
_cell_angle_gamma 90.00
loop_
_atom_site_label
_atom_site_fract_x
_atom_site_fract_y
_atom_site_fract_z
_atom_site_occupancy
Sr1 0.171 0.329 0.000 1
Ti1 0.000 0.000 0.500 1
In1 0.141 0.641 0.500 1
```

total DFT energy (no corrections) = -0.12342 Ha/atom
V = 32.05 A^3/atom
total magnetic moment = 2.02 μB/f.u.

---

Record 11
Density functional theory data (PBE-GGA) for an optimized crystal structure of TmHgRh.

```
data_TmHgRh
_chemical_formula_sum 'Tm4 Hg4 Rh4'
_space_group_name_H-M_alt 'F -4 3 m'
_space_group_IT_number 216
_space_group_name_Hall 'F -4 2 3'
_cell_length_a 6.529
_cell_length_b 6.529
_cell_length_c 6.529
_cell_angle_alpha 90.00
_cell_angle_beta 90.00
_cell_angle_gamma 90.00
loop_
_atom_site_label
_atom_site_fract_x
_atom_site_fract_y
_atom_site_fract_z
_atom_site_occupancy
Tm1 0.000 0.000 0.000 1
Hg1 0.000 0.000 0.500 1
Rh1 0.250 0.250 0.250 1
```

total DFT energy (no corrections) = -0.16655 Ha/atom
V = 23.19 A^3/atom
total magnetic moment = 0.00 μB/f.u.

---

Record 12
Density functional theory data (PBE-GGA) for an optimized crystal structure of La4NiIr2.

```
data_La4NiIr2
_chemical_formula_sum 'La8 Ni2 Ir4'
_space_group_name_H-M_alt 'C 1 2/m 1'
_space_group_IT_number 12
_cell_length_a 14.091
_cell_length_b 4.432
_cell_length_c 7.537
_cell_angle_alpha 90.00
_cell_angle_beta 122.30
_cell_angle_gamma 90.00
loop_
_space_group_symop_operation_xyz
'x,y,z'
'-x,-y,-z'
'-x,y,-z'
'x,-y,z'
'x+1/2,y+1/2,z'
'-x+1/2,-y+1/2,-z'
'-x+1/2,y+1/2,-z'
'x+1/2,-y+1/2,z'
loop_
_atom_site_label
_atom_site_fract_x
_atom_site_fract_y
_atom_site_fract_z
_atom_site_occupancy
La1 0.118 0.000 0.431 1
La2 0.143 0.500 0.996 1
Ni1 0.000 0.500 0.500 1
Ir1 0.225 0.500 0.723 1
```

total DFT energy (no corrections) = -0.24775 Ha/atom
V = 28.42 A^3/atom
total magnetic moment = 0.00 μB/f.u.